An optimized crystal structure of Sc2UTaN4. Source: Alexandria, functional PBE-GGA.

Summary:
The value obtained for the energy relative to the elements, uncorrected is -1558 meV per atom. The total energy is -81.6 eV for the cell shown.

Cell lengths 3.2245, 5.5398, 5.6549 Å; angles 108.85, 90.00, 90.00 degrees
Closest atoms and distances in Å follow each position.
Sites, in units of the cell vectors:
Ta: 0.0000 0.0000 0.0000  6 N 2.26-2.27
N: 0.5000 0.2430 0.2449  2 Ta 2.26, 3 Sc 2.27-2.32, 1 U 2.28
N: 0.0000 0.2408 0.7427  3 Sc 2.25-2.28, 1 Ta 2.27, 2 U 2.33
N: 0.0000 0.7592 0.2573  3 Sc 2.25-2.28, 1 Ta 2.27, 2 U 2.33
N: 0.5000 0.7570 0.7551  2 Ta 2.26, 3 Sc 2.27-2.32, 1 U 2.28
Sc: 0.0000 0.5000 0.5000  6 N 2.28-2.32
Sc: 0.5000 0.0000 0.5000  6 N 2.25-2.27
U: 0.5000 0.5000 0.0000  6 N 2.28-2.33